Computed, not measured: a geometry-optimized Y5Pb2N structure at the PBE-GGA level of DFT.

```
16
Lattice="2.3660 -8.5152 0.0000 2.3660 8.5152 0.0000 0.0000 0.0000 12.2891" Properties=species:S:1:pos:R:3 pbc="T T T"
Y 2.3660 6.6278 7.5504
Y 2.3660 6.6278 10.8833
Y 2.3660 3.8844 3.0723
Y 2.3660 3.3317 7.1951
Y 2.3660 3.3317 11.2386
Y 2.3660 -3.3317 1.0505
Y 2.3660 -3.3317 5.0940
Y 2.3660 -3.8844 9.2168
Y 2.3660 -6.6278 1.4058
Y 2.3660 -6.6278 4.7387
Pb 2.3660 7.2562 1.6149
Pb 2.3660 7.2562 4.5297
Pb 2.3660 -7.2562 7.7594
Pb 2.3660 -7.2562 10.6743
N 2.3660 4.8441 9.2168
N 2.3660 -4.8441 3.0723
```

Summary:
Its density of states at the Fermi level is 1.03 states/eV/atom. The value obtained for the formation energy without anion corrections is -293 meV per atom. As for the magnetization: 0.3 μB per formula unit. As for the crystal system: orthorhombic.